Computed, not measured: crystalline CsSrHg4 at its relaxed geometry at the PBE level of DFT.

The polymorph energy (0 for the lowest one) comes out at 15.6 kJ per mole of atoms. As for the space group: F-43m.

```
data_CsSrHg4
_chemical_formula_sum 'Cs1 Sr1 Hg4'
_symmetry_space_group_name_H-M 'P 1'
_symmetry_Int_Tables_number 1
_symmetry_space_group_name_Hall 'P 1'
_cell_length_a 6.5168
_cell_length_b 6.5168
_cell_length_c 6.5168
_cell_angle_alpha 60.00
_cell_angle_beta 60.00
_cell_angle_gamma 60.00
loop_
_atom_site_label
_atom_site_fract_x
_atom_site_fract_y
_atom_site_fract_z
Cs1 0.0000 0.0000 0.0000
Sr1 0.2500 0.2500 0.2500
Hg1 0.1263 0.6246 0.6246
Hg2 0.6246 0.1263 0.6246
Hg3 0.6246 0.6246 0.1263
Hg4 0.6246 0.6246 0.6246
```

Computed, not measured: crystalline CsSrHg at its relaxed geometry at the PBE level of DFT.

As for the space group: I4mm.

```
data_CsSrHg
_chemical_formula_sum 'Cs1 Sr1 Hg1'
_symmetry_space_group_name_H-M 'P 1'
_symmetry_Int_Tables_number 1
_symmetry_space_group_name_Hall 'P 1'
_cell_length_a 8.5809
_cell_length_b 8.5809
_cell_length_c 8.5809
_cell_angle_alpha 150.73
_cell_angle_beta 150.73
_cell_angle_gamma 41.87
loop_
_atom_site_label
_atom_site_fract_x
_atom_site_fract_y
_atom_site_fract_z
Cs1 0.0000 0.0000 0.0000
Sr1 0.2589 0.2589 0.0000
Hg1 0.6677 0.6677 0.0000
```

Computed, not measured: crystalline CsSrHg2 at its relaxed geometry at the PBE level of DFT.

The polymorph energy (0 for the lowest one) comes out at 9.1 kJ per mole of atoms. As for the space group: Fm-3m.

```
data_CsSrHg2
_chemical_formula_sum 'Cs1 Sr1 Hg2'
_symmetry_space_group_name_H-M 'P 1'
_symmetry_Int_Tables_number 1
_symmetry_space_group_name_Hall 'P 1'
_cell_length_a 6.0449
_cell_length_b 6.0449
_cell_length_c 6.0449
_cell_angle_alpha 60.00
_cell_angle_beta 60.00
_cell_angle_gamma 60.00
loop_
_atom_site_label
_atom_site_fract_x
_atom_site_fract_y
_atom_site_fract_z
Cs1 0.0000 0.0000 0.0000
Sr1 0.5000 0.5000 0.5000
Hg1 0.2500 0.2500 0.2500
Hg2 0.7500 0.7500 0.7500
```

Computed, not measured: crystalline CsSrHg4 at its relaxed geometry at the PBE level of DFT.

The polymorph energy (0 for the lowest one) comes out at 0.0 kJ per mole of atoms. As for the space group: C2.

```
data_CsSrHg4
_chemical_formula_sum 'Cs1 Sr1 Hg4'
_symmetry_space_group_name_H-M 'P 1'
_symmetry_Int_Tables_number 1
_symmetry_space_group_name_Hall 'P 1'
_cell_length_a 5.2445
_cell_length_b 5.2445
_cell_length_c 9.1382
_cell_angle_alpha 90.07
_cell_angle_beta 90.07
_cell_angle_gamma 60.01
loop_
_atom_site_label
_atom_site_fract_x
_atom_site_fract_y
_atom_site_fract_z
Cs1 0.0000 0.0000 0.0000
Sr1 0.9986 0.0014 0.5000
Hg1 0.3325 0.3350 0.3068
Hg2 0.3316 0.3345 0.6929
Hg3 0.6655 0.6684 0.3071
Hg4 0.6650 0.6675 0.6932
```

So what do the calculations give for DFT formation energy? Going down the list: -20.36 -18.28 -21.21 -35.94 kJ per mole of atoms.
So what do the calculations give for total magnetization? Going down the list: 0.0 0.4 0.0 0.0 μB per formula unit.